No. 1
# SiAgBr2

An optimized crystal structure of SiAgBr2 (PBE-GGA, Alexandria).

Cell: 5.612 5.612 5.612 Å, 138.94 104.58 89.67°
Site moments in Bohr magnetons follow the coordinates.
Sites, in units of the cell vectors:
Br1 0.996 0.996 0.000  0.03
Si1 0.750 0.250 0.500  0.19
Br2 0.504 0.504 0.000  0.03
Ag1 0.250 0.750 0.500  0.01

Computed properties:
* symmetry: Immm (71)
* energy above the most stable polymorph in this dataset: 0.337 eV per atom
* crystal system: orthorhombic
* uncorrected energy: -10.65 eV/cell
* ΔE_f (raw): 0.24 eV per atom

No. 2
# CaMn2Tc

An optimized crystal structure of CaMn2Tc (PBE-GGA, Alexandria).

Cell: 5.534 5.534 5.534 Å, 147.66 129.63 61.14°
Site moments in Bohr magnetons follow the coordinates.
Sites, in units of the cell vectors:
Mn1 0.981 0.981 0.000  3.54
Mn2 0.719 0.219 0.500  1.92
Ca1 0.265 0.765 0.500  -0.03
Tc1 0.535 0.535 0.000  -0.60

Computed properties:
* symmetry: Imm2 (44)
* energy above the most stable polymorph in this dataset: 0.204 eV per atom
* crystal system: orthorhombic
* calculated formation energy: 0.56 eV/atom
* uncorrected energy: -28.45 eV/cell